## RbSb2Br (PBE-GGA)

Data for RbSb2Br after structural relaxation.

a b c (Å): 4.5583 4.5583 18.0452
angles (deg): 82.74 82.74 90.00
Sites, in units of the cell vectors:
Rb 0.0000 0.0000 0.0000
Rb 0.7500 0.2500 0.5000
Br 0.2500 0.7500 0.5000
Sb 0.1878 0.6250 0.2500
Sb 0.8750 0.8122 0.7500
Sb 0.5622 0.1250 0.2500
Sb 0.3750 0.4378 0.7500
Br 0.5000 0.5000 0.0000

## Properties
Crystal system: tetragonal
E (eV/cell): -25.7
SG: I-42d (122)
Uncorrected formation energy (meV per atom): -489